(1)
A plane-wave DFT calculation with PBEsol was carried out for a relaxed SrLaPb2 crystal.

V in Å³ per atom: 31.3
Size of the total moment in μB per formula unit: 0.00
Calculated formation energy in eV per atom: -0.562

Cell: 4.543 5.250 5.252 Å, 90.00 90.00 90.00°
Atoms (fractional coordinates):
Pb 0.000 0.500 0.500
Pb 0.000 0.000 0.000
La 0.500 0.000 0.500
Sr 0.500 0.500 0.000

(2)
A plane-wave DFT calculation with PBEsol was carried out for a relaxed LaTaPb2 crystal.

V in Å³ per atom: 25.5
Size of the total moment in μB per formula unit: 0.00
Calculated formation energy in eV per atom: 0.268

Cell: 4.453 4.494 6.003 Å, 111.98 111.77 90.00°
Atoms (fractional coordinates):
Pb 0.752 0.252 0.504
Pb 0.000 0.000 0.000
Ta 0.499 0.499 0.998
La 0.249 0.749 0.498

(3)
A plane-wave DFT calculation with PBEsol was carried out for a relaxed La2TaPb crystal.

V in Å³ per atom: 27.3
Size of the total moment in μB per formula unit: 0.00
Calculated formation energy in eV per atom: 0.166

Cell: 3.291 4.439 7.466 Å, 90.00 90.00 90.00°
Atoms (fractional coordinates):
Ta 0.500 0.500 0.500
Pb 0.500 0.500 0.000
La 0.000 0.000 0.263
La 0.000 0.000 0.737

(4)
A plane-wave DFT calculation with PBEsol was carried out for a relaxed La2Ta2Pb crystal.

V in Å³ per atom: 27.1
Size of the total moment in μB per formula unit: 0.00
Calculated formation energy in eV per atom: 0.987

Cell: 4.543 4.543 7.318 Å, 108.08 108.08 90.00°
Atoms (fractional coordinates):
Pb 0.000 0.000 0.000
Ta 0.588 0.588 0.177
Ta 0.412 0.412 0.823
La 0.750 0.250 0.500
La 0.250 0.750 0.500

(5)
A plane-wave DFT calculation with PBEsol was carried out for a relaxed La2TaPb crystal.

V in Å³ per atom: 27.0
Size of the total moment in μB per formula unit: 0.00
Calculated formation energy in eV per atom: 0.086

Cell: 3.280 3.280 10.029 Å, 90.00 90.00 90.01°
Atoms (fractional coordinates):
La 0.000 0.000 0.771
La 0.000 0.000 0.229
Pb 0.500 0.500 0.500
Ta 0.500 0.500 0.000

(6)
A plane-wave DFT calculation with PBEsol was carried out for a relaxed La3TaPb crystal.

V in Å³ per atom: 33.1
Size of the total moment in μB per formula unit: 0.00
Calculated formation energy in eV per atom: 0.290

Cell: 5.490 5.490 5.490 Å, 90.00 90.00 90.00°
Atoms (fractional coordinates):
Pb 0.500 0.500 0.500
Ta 0.000 0.000 0.000
La 0.500 0.000 0.000
La 0.000 0.500 0.000
La 0.000 0.000 0.500

(7)
A plane-wave DFT calculation with PBEsol was carried out for a relaxed LaTaPb crystal.

V in Å³ per atom: 31.6
Size of the total moment in μB per formula unit: 3.12
Calculated formation energy in eV per atom: 1.264

Cell: 5.117 5.117 5.117 Å, 60.00 60.00 60.00°
Last column: magnetic moment on the atom in μB.
Atoms (fractional coordinates):
Pb 0.000 0.000 0.000  -0.06
Ta 0.500 0.500 0.500  1.80
La 0.250 0.250 0.250  0.37

(8)
A plane-wave DFT calculation with PBEsol was carried out for a relaxed La3TcPb crystal.

V in Å³ per atom: 30.7
Size of the total moment in μB per formula unit: 0.00
Calculated formation energy in eV per atom: -0.224

Cell: 5.355 5.355 5.355 Å, 90.00 90.00 90.00°
Atoms (fractional coordinates):
La 0.000 0.000 0.500
La 0.000 0.500 0.000
La 0.500 0.000 0.000
Tc 0.000 0.000 0.000
Pb 0.500 0.500 0.500

(9)
A plane-wave DFT calculation with PBEsol was carried out for a relaxed La2TcPb crystal.

V in Å³ per atom: 26.3
Size of the total moment in μB per formula unit: 0.00
Calculated formation energy in eV per atom: -0.109

Cell: 3.443 3.443 8.956 Å, 90.00 90.00 98.20°
Atoms (fractional coordinates):
Tc 0.500 0.500 0.000
La 0.000 0.000 0.198
La 0.000 0.000 0.802
Pb 0.500 0.500 0.500

(10)
A plane-wave DFT calculation with PBEsol was carried out for a relaxed La2TcPb crystal.

V in Å³ per atom: 26.0
Size of the total moment in μB per formula unit: 0.00
Calculated formation energy in eV per atom: -0.031

Cell: 3.505 5.062 6.625 Å, 112.46 105.34 90.00°
Atoms (fractional coordinates):
La 0.947 0.947 0.893
La 0.752 0.252 0.504
Pb 0.557 0.557 0.114
Tc 0.244 0.744 0.489

(11)
A plane-wave DFT calculation with PBEsol was carried out for a relaxed La2TcPb crystal.

V in Å³ per atom: 26.2
Size of the total moment in μB per formula unit: 0.00
Calculated formation energy in eV per atom: -0.108

Cell: 3.424 3.420 8.938 Å, 90.00 91.84 90.00°
Atoms (fractional coordinates):
Tc 0.500 0.500 0.500
La 0.969 0.000 0.699
La 0.031 0.000 0.301
Pb 0.500 0.500 0.000

(12)
A plane-wave DFT calculation with PBEsol was carried out for a relaxed La2TcPb crystal.

V in Å³ per atom: 24.0
Size of the total moment in μB per formula unit: 0.00
Calculated formation energy in eV per atom: 0.125

Cell: 3.555 3.555 7.589 Å, 90.00 90.00 90.00°
Atoms (fractional coordinates):
Pb 0.000 0.000 0.544
La 0.000 0.000 0.963
La 0.500 0.500 0.247
Tc 0.500 0.500 0.745

Number 1: VASP energy -4.36 eV per atom. Number 2: VASP energy -6.21 eV per atom. Number 3: VASP energy -6.64 eV per atom. Number 4: VASP energy -6.97 eV per atom. Number 5: VASP energy -6.72 eV per atom. Number 6: VASP energy -6.23 eV per atom. Number 7: VASP energy -6.03 eV per atom. Number 8: VASP energy -6.48 eV per atom. Number 9: VASP energy -6.60 eV per atom. Number 10: VASP energy -6.52 eV per atom. Number 11: VASP energy -6.60 eV per atom. Number 12: VASP energy -6.36 eV per atom.